Entry 1:
A plane-wave DFT calculation with PBE was carried out for AcTb2Ge after structural relaxation.

a b c (Å): 4.0867 4.0867 28.4672
angles (deg): 90.00 90.00 120.00
Space group R-3m (No. 166, hexagonal axes)
Inequivalent atoms, fractional coordinates:
Ac (0.0000, 0.0000, 0.0000) (multiplicity 3)
Tb (0.0000, 0.0000, 0.2231) (multiplicity 6)
Ge (0.0000, 0.0000, 0.5000) (multiplicity 3)

Calculated volume (Å³/atom): 34.31
Excess energy over the best structure of this formula in the dataset (eV per atom): 0.010
Magnetic moment (μB per formula unit): 0.000
Formation energy (meV/atom): -283
DFT total energy (Ry/atom): -0.35130
Theoretical density (Mg/m³): 7.5

Entry 2:
A plane-wave DFT calculation with PBE was carried out for AcTb2Ge4 after structural relaxation.

a b c (Å): 4.007 4.423 19.621
angles (deg): 90.00 90.00 90.00
Space group Immm (No. 71)
Inequivalent atoms, fractional coordinates:
Ac (0.000, 0.000, 0.000) (multiplicity 2)
Tb (0.000, 0.500, 0.316) (multiplicity 4)
Ge (0.000, 0.000, 0.423) (multiplicity 4)
Ge (0.000, 0.500, 0.164) (multiplicity 4)

Calculated volume (Å³/atom): 24.84
Magnetic moment (μB per formula unit): 0.000
Formation energy (meV/atom): -753
DFT total energy (Ry/atom): -0.38963
Theoretical density (Mg/m³): 8.0